Entry 1:
Density functional theory data (PBE) for BeVAu after structural relaxation.

ΔE to the lowest computed polymorph   0.035 eV per atom
Theoretical density   10.76 g/cm3
Space group   No. 12
M_tot   0.0 μB per formula unit
Density of states at the Fermi level   3.58 states/eV/cell

a = 5.256 Å, b = 4.845 Å, c = 4.990 Å
α = 64.60°, β = 56.31°, γ = 100.44°
Fractional coordinates of all 6 atoms:
Be: 0.643 0.689 0.443
Be: 0.925 0.405 0.407
V: 0.268 0.062 0.146
V: 0.300 0.031 0.704
Au: 0.604 0.726 0.953
Au: 0.964 0.368 0.896



Entry 2:
Density functional theory data (PBE) for Y5Ho4Er2 after structural relaxation.

ΔE to the lowest computed polymorph   0.120 eV per atom
Theoretical density   6.75 g/cm3
Space group   No. 12
M_tot   0.0 μB per formula unit
Density of states at the Fermi level   19.01 states/eV/cell

a = 7.389 Å, b = 6.609 Å, c = 9.909 Å
α = 63.52°, β = 68.11°, γ = 56.01°
Fractional coordinates of all 11 atoms:
Ho: 0.680 0.139 0.501
Ho: 0.330 0.218 0.122
Ho: 0.320 0.861 0.499
Ho: 0.670 0.782 0.878
Y: 0.790 0.643 0.219
Y: 0.348 0.643 0.219
Y: 0.210 0.357 0.781
Y: 0.000 0.500 0.500
Y: 0.652 0.357 0.781
Er: 0.855 0.170 0.121
Er: 0.145 0.830 0.879



Entry 3:
Density functional theory data (PBE) for Sr2NpVN5 after structural relaxation.

Raw total energy   -8.430 eV per atom
Theoretical density   6.33 g/cm3
Space group   No. 36
M_tot   1.0 μB per formula unit
Density of states at the Fermi level   7.84 states/eV/cell

a = 3.537 Å, b = 7.169 Å, c = 11.377 Å
α = 90.00°, β = 90.00°, γ = 104.28°
Last column: magnetic moment on the atom in μB.
Fractional coordinates of all 18 atoms:
V: 0.457 0.914 0.432  0.12
V: 0.543 0.086 0.932  0.12
N: 0.503 0.006 0.294  -0.01
N: 0.348 0.695 0.005  -0.07
N: 0.497 0.994 0.794  -0.01
N: 0.284 0.567 0.648  -0.08
N: 0.954 0.908 0.503  -0.04
N: 0.322 0.643 0.416  -0.05
N: 0.678 0.357 0.916  -0.05
N: 0.716 0.433 0.148  -0.08
N: 0.652 0.305 0.505  -0.07
N: 0.046 0.092 0.003  -0.04
Sr: 0.905 0.811 0.166  0.00
Sr: 0.095 0.189 0.666  0.00
Sr: 0.144 0.287 0.326  0.00
Sr: 0.856 0.713 0.826  0.00
Np: 0.794 0.588 0.534  1.16
Np: 0.206 0.412 0.034  1.16



Entry 4:
Density functional theory data (PBE) for Cr2MoP after structural relaxation.

Raw total energy   -8.992 eV per atom
Theoretical density   7.67 g/cm3
Space group   No. 12
M_tot   0.0 μB per formula unit
Density of states at the Fermi level   3.12 states/eV/cell

a = 4.870 Å, b = 4.870 Å, c = 3.958 Å
α = 66.61°, β = 66.61°, γ = 35.86°
Fractional coordinates of all 4 atoms:
Cr: 0.507 0.507 0.489
Cr: 0.993 0.993 0.011
P: 0.250 0.250 0.250
Mo: 0.750 0.750 0.750



Q: Which of these has the lowest density of states at the Fermi level?
A: Cr2MoP